The following is a PBE-GGA calculation of a relaxed ZnCrCdFe2 crystal, from Alexandria.

Structure (POSCAR):
```
ZnCrCdFe2
1.0
4.2135 0.0000 0.0000
0.0000 5.0402 0.0000
0.0000 0.0000 4.2135
Cd Cr Fe Zn
1 1 2 1
direct
0.0000 0.5000 0.0000
0.0000 0.0000 0.0000
0.5000 0.0000 0.0000
0.0000 0.0000 0.5000
0.5000 0.5000 0.5000
```

Summary:
**ρ**: 6.34 Mg/m³
**Energy of formation**: 1169 meV/atom
**D(E_F)**: 6.834 states/eV/cell
**Spin magnetization**: 2.9 μB/f.u.